1.
Density functional theory data (PBE) for crystalline AlZnInSe4 at its relaxed geometry.

Lattice parameters (Å, degrees): 7.0363 7.0363 7.0363 132.64 132.64 69.22
Fractional positions:
Al (0.5000, 0.5000, 0.0000)
In (0.7500, 0.2500, 0.5000)
Se (0.1561, 0.6443, 0.0492)
Se (0.8932, 0.8439, 0.4882)
Se (0.3557, 0.4049, 0.5118)
Se (0.5951, 0.1068, 0.9508)
Zn (0.0000, 0.0000, 0.0000)

Results
VASP energy in eV/atom: -3.82
Space-group type: I-4

=====

2.
Density functional theory data (PBE) for crystalline GdHo2Ni2B2N3 at its relaxed geometry.

Lattice parameters (Å, degrees): 10.3523 10.3523 10.3523 160.68 160.68 27.45
Fractional positions:
B (0.1899, 0.1899, 0.0000)
B (0.8101, 0.8101, 0.0000)
Gd (0.0000, 0.0000, 0.0000)
Ho (0.3766, 0.3766, 0.0000)
Ho (0.6234, 0.6234, 0.0000)
N (0.1177, 0.1177, 0.0000)
N (0.5000, 0.5000, 0.0000)
N (0.8823, 0.8823, 0.0000)
Ni (0.7500, 0.2500, 0.5000)
Ni (0.2500, 0.7500, 0.5000)

Results
VASP energy in eV/atom: -7.54
Space-group type: I4/mmm

=====

3.
Density functional theory data (PBE) for crystalline AcAgOs3 at its relaxed geometry.

Lattice parameters (Å, degrees): 3.0556 15.9484 15.9484 15.43 90.00 90.00
Fractional positions:
Ac (0.5000, 0.3750, 0.3750)
Ac (0.5000, 0.6284, 0.6284)
Ag (0.0000, 0.1920, 0.1920)
Ag (0.0000, 0.8115, 0.8115)
Os (0.5000, 0.0378, 0.0378)
Os (0.5000, 0.2707, 0.2707)
Os (0.0000, 0.4601, 0.4601)
Os (0.0000, 0.5432, 0.5432)
Os (0.5000, 0.7328, 0.7328)
Os (0.5000, 0.9656, 0.9656)

Results
Calculated formation energy in meV per atom: 749.1
VASP energy in eV/atom: -7.37
Space-group type: Cmmm

=====

4.
Density functional theory data (PBE) for crystalline Nb4AlNiC2 at its relaxed geometry.

Lattice parameters (Å, degrees): 3.1309 3.1309 13.3693 90.00 90.00 120.00
Fractional positions:
Al (0.0000, 0.0000, 0.0000)
C (0.6667, 0.3333, 0.2603)
C (0.6667, 0.3333, 0.7397)
Nb (0.3333, 0.6667, 0.1667)
Nb (0.0000, 0.0000, 0.3528)
Nb (0.0000, 0.0000, 0.6472)
Nb (0.3333, 0.6667, 0.8333)
Ni (0.3333, 0.6667, 0.5000)

Results
VASP energy in eV/atom: -8.91
Space-group type: P-6m2

=====

5.
Density functional theory data (PBE) for crystalline KHfAgSe2S at its relaxed geometry.

Lattice parameters (Å, degrees): 8.2756 3.9482 9.9944 90.00 109.91 90.00
Fractional positions:
Ag (0.4260, 0.7500, 0.3953)
Ag (0.5740, 0.2500, 0.6047)
Hf (0.1911, 0.2500, 0.1650)
Hf (0.8089, 0.7500, 0.8350)
K (0.7594, 0.2500, 0.2997)
K (0.2406, 0.7500, 0.7003)
S (0.2358, 0.2500, 0.4257)
S (0.7642, 0.7500, 0.5743)
Se (0.3997, 0.7500, 0.1291)
Se (0.9511, 0.7500, 0.1313)
Se (0.0489, 0.2500, 0.8687)
Se (0.6003, 0.2500, 0.8709)

Results
Relative energy among the computed polymorphs in meV/atom: 0
VASP energy in eV/atom: -5.25
Space-group type: P2_1/m

=====

6.
Density functional theory data (PBE) for crystalline TmHfTe at its relaxed geometry.

Lattice parameters (Å, degrees): 4.8450 4.8450 4.8450 60.00 60.00 60.00
Fractional positions:
Hf (0.2500, 0.2500, 0.2500)
Te (0.0000, 0.0000, 0.0000)
Tm (0.7500, 0.7500, 0.7500)

Results
Relative energy among the computed polymorphs in meV/atom: 0
VASP energy in eV/atom: -5.90
Space-group type: F-43m

=====

7.
Density functional theory data (PBE) for crystalline PrMgAuSe2S at its relaxed geometry.

Lattice parameters (Å, degrees): 6.8722 6.8722 10.8051 90.00 90.00 146.70
Fractional positions:
Au (0.4802, 0.5198, 0.2500)
Au (0.5198, 0.4802, 0.7500)
Mg (0.7533, 0.2467, 0.2500)
Mg (0.2467, 0.7533, 0.7500)
Pr (0.0000, 0.0000, 0.0000)
Pr (0.0000, 0.0000, 0.5000)
S (0.1102, 0.8898, 0.2500)
S (0.8898, 0.1102, 0.7500)
Se (0.3416, 0.6584, 0.0781)
Se (0.3416, 0.6584, 0.4219)
Se (0.6584, 0.3416, 0.5781)
Se (0.6584, 0.3416, 0.9219)

Results
VASP energy in eV/atom: -4.50
Space-group type: Cmcm

=====

8.
Density functional theory data (PBE) for crystalline GdScFe2Si2C at its relaxed geometry.

Lattice parameters (Å, degrees): 5.5578 5.5578 6.6220 126.51 126.51 40.73
Fractional positions:
C (0.5053, 0.5053, 0.4943)
Fe (0.2984, 0.2984, 0.1932)
Fe (0.7039, 0.7039, 0.8099)
Gd (0.9379, 0.9379, 0.6713)
Sc (0.0561, 0.0561, 0.3258)
Si (0.6564, 0.6564, 0.1089)
Si (0.3419, 0.3419, 0.8967)

Results
VASP energy in eV/atom: -7.47
Space-group type: Cm

=====

9.
Density functional theory data (PBE) for crystalline Be2HgB at its relaxed geometry.

Lattice parameters (Å, degrees): 4.0906 4.0906 4.0906 60.00 60.00 60.00
Fractional positions:
B (0.5000, 0.5000, 0.5000)
Be (0.0000, 0.0000, 0.0000)
Be (0.7500, 0.7500, 0.7500)
Hg (0.2500, 0.2500, 0.2500)

Results
VASP energy in eV/atom: -2.38
Space-group type: F-43m

=====

10.
Density functional theory data (PBE) for crystalline TbGdBi4Au2 at its relaxed geometry.

Lattice parameters (Å, degrees): 4.6214 4.6214 9.8253 90.00 90.00 90.00
Fractional positions:
Au (0.5000, 0.0000, 0.9991)
Au (0.0000, 0.5000, 0.9991)
Bi (0.5000, 0.5000, 0.1970)
Bi (0.5000, 0.0000, 0.5008)
Bi (0.0000, 0.5000, 0.5008)
Bi (0.0000, 0.0000, 0.8022)
Gd (0.0000, 0.0000, 0.2331)
Tb (0.5000, 0.5000, 0.7678)

Results
VASP energy in eV/atom: -4.53
Space-group type: P4mm

=====

11.
Density functional theory data (PBE) for crystalline PrErFe2Si2 at its relaxed geometry.

Lattice parameters (Å, degrees): 4.0432 4.0432 6.6883 90.00 90.00 90.00
Fractional positions:
Er (0.0000, 0.0000, 0.6965)
Fe (0.5000, 0.0000, 0.9920)
Fe (0.0000, 0.5000, 0.9920)
Pr (0.5000, 0.5000, 0.3309)
Si (0.0000, 0.0000, 0.1652)
Si (0.5000, 0.5000, 0.8234)

Results
VASP energy in eV/atom: -6.73
Space-group type: P4mm

=====

12.
Density functional theory data (PBE) for crystalline Ac2Dy2O5 at its relaxed geometry.

Lattice parameters (Å, degrees): 8.1250 4.3739 4.3739 90.00 90.00 90.00
Fractional positions:
Ac (0.0000, 0.0000, 0.0000)
Ac (0.5000, 0.0000, 0.0000)
Dy (0.2369, 0.5000, 0.5000)
Dy (0.7631, 0.5000, 0.5000)
O (0.2502, 0.5000, 0.0000)
O (0.7498, 0.5000, 0.0000)
O (0.2502, 0.0000, 0.5000)
O (0.7498, 0.0000, 0.5000)
O (0.5000, 0.5000, 0.5000)

Results
Relative energy among the computed polymorphs in meV/atom: 0
VASP energy in eV/atom: -7.61
Space-group type: P4/mmm

=====

13.
Density functional theory data (PBE) for crystalline BeGeW2 at its relaxed geometry.

Lattice parameters (Å, degrees): 4.3247 4.3247 4.3247 60.00 60.00 60.00
Fractional positions:
Be (0.2500, 0.2500, 0.2500)
Ge (0.5000, 0.5000, 0.5000)
W (0.0000, 0.0000, 0.0000)
W (0.7500, 0.7500, 0.7500)

Results
VASP energy in eV/atom: -8.17
Space-group type: F-43m

=====

14.
Density functional theory data (PBE) for crystalline LiLu at its relaxed geometry.

Lattice parameters (Å, degrees): 3.5965 3.5965 3.5965 90.00 90.00 90.00
Fractional positions:
Li (0.0000, 0.0000, 0.0000)
Lu (0.5000, 0.5000, 0.5000)

Results
Relative energy among the computed polymorphs in meV/atom: 0
VASP energy in eV/atom: -3.05
Space-group type: Pm-3m

=====

15.
Density functional theory data (PBE) for crystalline DyHo2Mg3Ir2Pd at its relaxed geometry.

Lattice parameters (Å, degrees): 4.0090 7.3343 7.3343 120.04 90.00 90.00
Fractional positions:
Dy (0.0000, 0.5838, 0.5838)
Ho (0.0000, 0.4158, 0.0000)
Ho (0.0000, 0.0000, 0.4158)
Ir (0.5000, 0.6669, 0.3327)
Ir (0.5000, 0.3327, 0.6669)
Mg (0.5000, 0.7510, 0.0003)
Mg (0.5000, 0.2488, 0.2488)
Mg (0.5000, 0.0003, 0.7510)
Pd (0.0000, 0.0005, 0.0005)

Results
VASP energy in eV/atom: -5.29
Space-group type: Amm2

=====

16.
Density functional theory data (PBE) for crystalline Nd3Co at its relaxed geometry.

Lattice parameters (Å, degrees): 6.1245 6.1245 6.1245 137.13 137.13 62.24
Fractional positions:
Co (0.0000, 0.0000, 0.0000)
Nd (0.5000, 0.5000, 0.0000)
Nd (0.7500, 0.2500, 0.5000)
Nd (0.2500, 0.7500, 0.5000)

Results
Calculated formation energy in meV per atom: 360.0
VASP energy in eV/atom: -4.99
Space-group type: I4/mmm

=====

17.
Density functional theory data (PBE) for crystalline AgAuO2 at its relaxed geometry.

Lattice parameters (Å, degrees): 5.5898 3.9642 5.5008 90.00 103.77 90.00
Fractional positions:
Ag (0.0000, 0.5000, 0.0000)
Ag (0.0000, 0.0000, 0.5000)
Au (0.5000, 0.0000, 0.0000)
Au (0.5000, 0.5000, 0.5000)
O (0.2972, 0.2015, 0.2270)
O (0.7028, 0.7015, 0.2730)
O (0.2972, 0.2985, 0.7270)
O (0.7028, 0.7985, 0.7730)

Results
VASP energy in eV/atom: -4.12
Space-group type: P2_1/c

=====

18.
Density functional theory data (PBE) for crystalline ScCd2Ge at its relaxed geometry.

Lattice parameters (Å, degrees): 4.9039 4.9039 4.9039 60.00 60.00 60.00
Fractional positions:
Cd (0.0000, 0.0000, 0.0000)
Cd (0.7500, 0.7500, 0.7500)
Ge (0.5000, 0.5000, 0.5000)
Sc (0.2500, 0.2500, 0.2500)

Results
VASP energy in eV/atom: -3.30
Space-group type: F-43m

=====

19.
Density functional theory data (PBE) for crystalline GePtNO at its relaxed geometry.

Lattice parameters (Å, degrees): 3.0717 5.2748 6.6687 90.00 90.00 90.00
Fractional positions:
Ge (0.5000, 0.9659, 0.1342)
Ge (0.5000, 0.4659, 0.8658)
N (0.0000, 0.8864, 0.2713)
N (0.0000, 0.3864, 0.7287)
O (0.5000, 0.2987, 0.0953)
O (0.5000, 0.7987, 0.9047)
Pt (0.0000, 0.6030, 0.4728)
Pt (0.0000, 0.1030, 0.5272)

Results
Relative energy among the computed polymorphs in meV/atom: 0
VASP energy in eV/atom: -6.34
Space-group type: Pmc2_1

=====

20.
Density functional theory data (PBE) for crystalline TmB4Os at its relaxed geometry.

Lattice parameters (Å, degrees): 3.1767 3.1767 6.7619 90.00 90.00 120.00
Site moments in Bohr magnetons follow the coordinates.
Fractional positions:
B (0.6667, 0.3333, 0.2736)  0.01
B (0.3333, 0.6667, 0.2736)  0.01
B (0.6667, 0.3333, 0.7264)  0.01
B (0.3333, 0.6667, 0.7264)  0.01
Os (0.0000, 0.0000, 0.5000)  0.52
Tm (0.0000, 0.0000, 0.0000)  -0.01

Results
Relative energy among the computed polymorphs in meV/atom: 421
VASP energy in eV/atom: -7.25
Space-group type: P6/mmm